The following is a DFT calculation (PBE) of crystalline Nd2HoSn2 at its relaxed geometry.

Geometry as CIF:
```
data_Nd2HoSn2
_cell_length_a 12.7966
_cell_length_b 4.7882
_cell_length_c 11.2550
_cell_angle_alpha 90.00
_cell_angle_beta 116.83
_cell_angle_gamma 90.00
_space_group_name_H-M_alt 'C 1 2/m 1'
_space_group_IT_number 12
loop_
_space_group_symop_operation_xyz
'x,y,z'
'-x,-y,-z'
'-x,y,-z'
'x,-y,z'
'x+1/2,y+1/2,z'
'-x+1/2,-y+1/2,-z'
'-x+1/2,y+1/2,-z'
'x+1/2,-y+1/2,z'
loop_
_atom_site_label
_atom_site_fract_x
_atom_site_fract_y
_atom_site_fract_z
Nd1 0.0116 0.0000 0.1798
Nd2 0.1827 0.0000 0.5919
Ho1 0.2140 0.5000 0.8560
Sn1 0.0348 0.5000 0.3896
Sn2 0.1292 0.5000 0.0742
```

Results
For the distance to the lowest polymorph of the same formula, the calculation gives 41.4 kJ/mol of formula units. Its crystal system is monoclinic. The calculation puts the formation energy at -0.63 eV/atom. The calculation puts the calculated total energy at -5.0506 eV/atom. The spin magnetization comes out at 0.00 μB/cell.

---

The following is a DFT calculation (PBE) of crystalline NdHo2Sn9 at its relaxed geometry.

Geometry as CIF:
```
data_NdHo2Sn9
_cell_length_a 4.8061
_cell_length_b 4.8061
_cell_length_c 13.7526
_cell_angle_alpha 90.00
_cell_angle_beta 90.00
_cell_angle_gamma 90.00
_space_group_name_H-M_alt 'P 4/m m m'
_space_group_IT_number 123
_space_group_name_Hall '-P 4 2'
loop_
_atom_site_label
_atom_site_fract_x
_atom_site_fract_y
_atom_site_fract_z
Nd1 0.0000 0.0000 0.0000
Ho1 0.0000 0.0000 0.3346
Sn1 0.0000 0.5000 0.1711
Sn2 0.0000 0.5000 0.5000
Sn3 0.5000 0.5000 0.0000
Sn4 0.5000 0.5000 0.3356
```

Results
Its crystal system is tetragonal. The calculation puts the formation energy at -0.44 eV/atom. The calculation puts the calculated total energy at -4.5980 eV/atom. The spin magnetization comes out at 0.00 μB/cell.

---

The following is a DFT calculation (PBE) of crystalline Nd2Ho8Sn at its relaxed geometry.

Geometry as CIF:
```
data_Nd2Ho8Sn
_cell_length_a 18.0680
_cell_length_b 4.9092
_cell_length_c 7.8701
_cell_angle_alpha 90.00
_cell_angle_beta 105.14
_cell_angle_gamma 90.00
_space_group_name_H-M_alt 'C 1 2/m 1'
_space_group_IT_number 12
loop_
_space_group_symop_operation_xyz
'x,y,z'
'-x,-y,-z'
'-x,y,-z'
'x,-y,z'
'x+1/2,y+1/2,z'
'-x+1/2,-y+1/2,-z'
'-x+1/2,y+1/2,-z'
'x+1/2,-y+1/2,z'
loop_
_atom_site_label
_atom_site_fract_x
_atom_site_fract_y
_atom_site_fract_z
Nd1 0.2206 0.0000 0.1319
Ho1 0.0437 0.0000 0.2257
Ho2 0.0884 0.5000 0.9395
Ho3 0.1334 0.0000 0.6731
Ho4 0.1803 0.5000 0.4070
Sn1 0.0000 0.5000 0.5000
```

Results
Its crystal system is monoclinic. The calculation puts the formation energy at -0.11 eV/atom. The calculation puts the calculated total energy at -4.6689 eV/atom. The spin magnetization comes out at 0.00 μB/cell.

---

The following is a DFT calculation (PBE) of crystalline Nd5Ho2Sn4 at its relaxed geometry.

Geometry as CIF:
```
data_Nd5Ho2Sn4
_cell_length_a 33.3717
_cell_length_b 4.1240
_cell_length_c 4.9939
_cell_angle_alpha 90.00
_cell_angle_beta 91.86
_cell_angle_gamma 90.00
_space_group_name_H-M_alt 'C 1 2/m 1'
_space_group_IT_number 12
loop_
_space_group_symop_operation_xyz
'x,y,z'
'-x,-y,-z'
'-x,y,-z'
'x,-y,z'
'x+1/2,y+1/2,z'
'-x+1/2,-y+1/2,-z'
'-x+1/2,y+1/2,-z'
'x+1/2,-y+1/2,z'
loop_
_atom_site_label
_atom_site_fract_x
_atom_site_fract_y
_atom_site_fract_z
Nd1 0.0000 0.0000 0.0000
Nd2 0.0974 0.5000 0.0173
Nd3 0.2029 0.5000 0.9758
Ho1 0.1238 0.0000 0.5191
Sn1 0.0434 0.5000 0.5060
Sn2 0.2188 0.0000 0.4801
```

Results
Its crystal system is monoclinic. The calculation puts the formation energy at -0.35 eV/atom. The calculation puts the calculated total energy at -4.8089 eV/atom. The spin magnetization comes out at 0.00 μB/cell.